K2BO2 after structural relaxation. Source: the Alexandria database, functional PBE.

Output
Raw formation energy (eV/atom): -1.738
Spin magnetization (μB per formula unit): 0.00
DOS at the Fermi energy (states/eV/f.u.): 1.0
Symmetry: Ibam, No. 72

Structure (CIF):
```
data_K2BO2
_chemical_formula_sum 'K4 B2 O4'
_symmetry_space_group_name_H-M 'P 1'
_symmetry_Int_Tables_number 1
_cell_length_a 9.726
_cell_length_b 9.726
_cell_length_c 9.726
_cell_angle_alpha 128.13
_cell_angle_beta 58.00
_cell_angle_gamma 155.84
loop_
_symmetry_equiv_pos_as_xyz
'x,y,z'
loop_
_atom_site_label
_atom_site_type_symbol
_atom_site_fract_x
_atom_site_fract_y
_atom_site_fract_z
K1 K 0.123 0.235 0.358
K2 K 0.377 0.735 0.112
K3 K 0.623 0.265 0.888
K4 K 0.877 0.765 0.642
B1 B 0.250 0.250 0.000
B2 B 0.750 0.750 0.000
O1 O 0.046 0.909 0.955
O2 O 0.454 0.409 0.863
O3 O 0.546 0.591 0.137
O4 O 0.954 0.091 0.045
```